1.
{"formula": "Zr2AlSnH", "functional": "PBE-GGA", "state": "relaxed", "energy_ev_per_atom": -5.9496, "n_ef_per_ev_atom": 0.419, "mass_density_kg_m3": 6454, "magnetic_moment_mub_per_fu": 0.000, "lattice": [[-1.8278, -1.0307, 3.8501], [-3.7569, -0.9688, -2.0430], [1.3369, -4.1692, -0.4815]], "species": ["Sn", "Zr", "Zr", "Al", "H"], "frac_coords": [[0.5000, 0.5000, 0.5000], [0.5000, 0.0000, 0.0000], [0.0000, 0.5000, 0.0000], [0.0000, 0.0000, 0.5000], [0.0000, 0.0000, 0.0000]]}

2.
{"formula": "Ag2HSBr", "functional": "PBE-GGA", "state": "relaxed", "energy_ev_per_atom": -3.1676, "mass_density_kg_m3": 4881, "magnetic_moment_mub_per_fu": 0.000, "lattice": [[-1.0837, -6.0835, 2.9327], [5.0597, -2.6987, -3.7284], [1.1381, 5.4944, 3.8416]], "species": ["Ag", "S", "H", "Ag", "Ag", "Br", "Ag", "H", "Br", "S"], "frac_coords": [[0.6720, 0.1720, 0.0132], [0.5391, 0.5391, 0.0782], [0.6802, 0.6802, 0.3603], [0.8411, 0.6720, 0.0132], [0.1720, 0.3411, 0.0132], [0.2678, 0.7678, 0.5356], [0.3411, 0.8411, 0.0132], [0.1802, 0.1802, 0.3603], [0.7678, 0.2678, 0.5356], [0.0391, 0.0391, 0.0782]]}

3.
{"formula": "PaSi3B", "functional": "PBE-GGA", "state": "relaxed", "raw_formation_energy_ev_per_fu": -0.728, "n_ef_per_ev_atom": 0.729, "mass_density_kg_m3": 7006, "magnetic_moment_mub_per_fu": 0.000, "lattice": [[5.0772, -0.2395, 0.5965], [-0.2918, 5.1208, 0.3645], [0.5790, 0.3898, 6.0621]], "species": ["B", "Si", "Si", "Si", "B", "Si", "Si", "Pa", "Pa", "Si"], "frac_coords": [[0.7570, 0.5008, 0.2426], [0.8447, 0.9566, 0.6794], [0.3245, 0.8813, 0.4406], [0.0258, 0.4912, 0.4338], [0.1858, 0.8662, 0.7923], [0.9216, 0.5223, 0.8992], [0.4066, 0.3398, 0.1737], [0.4598, 0.3790, 0.6727], [0.8866, 0.0119, 0.1817], [0.4439, 0.8148, 0.9918]]}